Entry 1:
AsPCl2 | GGA-PBE | relaxed

The structure in CIF format:
```
data_AsPCl2
_chemical_formula_sum 'As2 P2 Cl4'
_cell_length_a 15.485
_cell_length_b 3.602
_cell_length_c 3.741
_cell_angle_alpha 90.00
_cell_angle_beta 91.59
_cell_angle_gamma 90.00
_space_group_name_H-M_alt 'C 1 2/m 1'
_space_group_IT_number 12
loop_
_space_group_symop_operation_xyz
'x,y,z'
'-x,-y,-z'
'-x,y,-z'
'x,-y,z'
'x+1/2,y+1/2,z'
'-x+1/2,-y+1/2,-z'
'-x+1/2,y+1/2,-z'
'x+1/2,-y+1/2,z'
loop_
_atom_site_label
_atom_site_type_symbol
_atom_site_fract_x
_atom_site_fract_y
_atom_site_fract_z
As1 As 0.000 0.000 0.000
P1 P 0.000 0.500 0.500
Cl1 Cl 0.143 0.000 0.729
```

raw formation energy	74	meV/atom
calculated volume	208.6	Å³/cell
distance to the lowest polymorph of the same formula	445	meV per atom

=====

Entry 2:
AsPCl2 | GGA-PBE | relaxed

The structure in CIF format:
```
data_AsPCl2
_chemical_formula_sum 'As4 P4 Cl8'
_cell_length_a 9.925
_cell_length_b 9.925
_cell_length_c 4.775
_cell_angle_alpha 90.00
_cell_angle_beta 90.00
_cell_angle_gamma 90.00
_space_group_name_H-M_alt 'I 41/a m d'
_space_group_IT_number 141
loop_
_space_group_symop_operation_xyz
'x,y,z'
'-x,-y,-z'
'-y+1/4,x+3/4,z+1/4'
'y+1/4,-x+3/4,-z+1/4'
'-x+1/2,-y,z+1/2'
'x+1/2,y,-z+1/2'
'y+1/4,-x+1/4,z+3/4'
'-y+1/4,x+1/4,-z+3/4'
'x,-y,-z'
'-x,y,z'
'-y+1/4,-x+1/4,-z+3/4'
'y+1/4,x+1/4,z+3/4'
'-x+1/2,y,-z+1/2'
'x+1/2,-y,z+1/2'
'y+1/4,x+3/4,-z+1/4'
'-y+1/4,-x+3/4,z+1/4'
'x+1/2,y+1/2,z+1/2'
'-x+1/2,-y+1/2,-z+1/2'
'-y+3/4,x+1/4,z+3/4'
'y+3/4,-x+1/4,-z+3/4'
'-x,-y+1/2,z'
'x,y+1/2,-z'
'y+3/4,-x+3/4,z+1/4'
'-y+3/4,x+3/4,-z+1/4'
'x+1/2,-y+1/2,-z+1/2'
'-x+1/2,y+1/2,z+1/2'
'-y+3/4,-x+3/4,-z+1/4'
'y+3/4,x+3/4,z+1/4'
'-x,y+1/2,-z'
'x,-y+1/2,z'
'y+3/4,x+1/4,-z+3/4'
'-y+3/4,-x+1/4,z+3/4'
loop_
_atom_site_label
_atom_site_type_symbol
_atom_site_fract_x
_atom_site_fract_y
_atom_site_fract_z
As1 As 0.000 0.250 0.375
P1 P 0.000 0.250 0.875
Cl1 Cl 0.000 0.000 0.000
```

raw formation energy	338	meV/atom
calculated volume	470.4	Å³/cell
distance to the lowest polymorph of the same formula	709	meV per atom

=====

Entry 3:
AsPPb4Cl2 | GGA-PBE | relaxed

The structure in CIF format:
```
data_AsPPb4Cl2
_chemical_formula_sum 'As1 P1 Pb4 Cl2'
_cell_length_a 7.474
_cell_length_b 4.324
_cell_length_c 7.670
_cell_angle_alpha 90.00
_cell_angle_beta 109.03
_cell_angle_gamma 90.00
_space_group_name_H-M_alt 'P 1 2/m 1'
_space_group_IT_number 10
loop_
_space_group_symop_operation_xyz
'x,y,z'
'-x,-y,-z'
'-x,y,-z'
'x,-y,z'
loop_
_atom_site_label
_atom_site_type_symbol
_atom_site_fract_x
_atom_site_fract_y
_atom_site_fract_z
As1 As 0.000 0.000 0.000
P1 P 0.500 0.500 0.000
Pb1 Pb 0.245 0.500 0.218
Pb2 Pb 0.266 0.000 0.784
Cl1 Cl 0.000 0.500 0.500
Cl2 Cl 0.500 0.000 0.500
```

raw formation energy	-453	meV/atom
calculated volume	234.3	Å³/cell

=====

Entry 4:
AsP2Pb6Cl3 | GGA-PBE | relaxed

The structure in CIF format:
```
data_AsP2Pb6Cl3
_chemical_formula_sum 'As2 P4 Pb12 Cl6'
_cell_length_a 7.450
_cell_length_b 12.908
_cell_length_c 7.668
_cell_angle_alpha 90.00
_cell_angle_beta 108.93
_cell_angle_gamma 90.00
_space_group_name_H-M_alt 'C 1 2/m 1'
_space_group_IT_number 12
loop_
_space_group_symop_operation_xyz
'x,y,z'
'-x,-y,-z'
'-x,y,-z'
'x,-y,z'
'x+1/2,y+1/2,z'
'-x+1/2,-y+1/2,-z'
'-x+1/2,y+1/2,-z'
'x+1/2,-y+1/2,z'
loop_
_atom_site_label
_atom_site_type_symbol
_atom_site_fract_x
_atom_site_fract_y
_atom_site_fract_z
As1 As 0.000 0.000 0.000
P1 P 0.000 0.333 0.000
Pb1 Pb 0.232 0.500 0.217
Pb2 Pb 0.242 0.170 0.216
Cl1 Cl 0.000 0.164 0.500
Cl2 Cl 0.000 0.500 0.500
```

raw formation energy	-446	meV/atom
calculated volume	697.5	Å³/cell

=====

Entry 5:
AsP2PdCl | GGA-PBE | relaxed

The structure in CIF format:
```
data_AsP2PdCl
_chemical_formula_sum 'As1 P2 Pd1 Cl1'
_cell_length_a 4.713
_cell_length_b 4.713
_cell_length_c 4.712
_cell_angle_alpha 90.00
_cell_angle_beta 90.00
_cell_angle_gamma 90.00
_space_group_name_H-M_alt 'P 4/m m m'
_space_group_IT_number 123
_space_group_name_Hall '-P 4 2'
loop_
_atom_site_label
_atom_site_type_symbol
_atom_site_fract_x
_atom_site_fract_y
_atom_site_fract_z
As1 As 0.000 0.000 0.000
P1 P 0.000 0.500 0.500
Pd1 Pd 0.500 0.500 0.500
Cl1 Cl 0.500 0.500 0.000
```

raw formation energy	707	meV/atom
calculated volume	104.6	Å³/cell
distance to the lowest polymorph of the same formula	0	meV per atom

=====

Entry 6:
AsPPdCl2 | GGA-PBE | relaxed

The structure in CIF format:
```
data_AsPPdCl2
_chemical_formula_sum 'As1 P1 Pd1 Cl2'
_cell_length_a 4.737
_cell_length_b 4.737
_cell_length_c 4.848
_cell_angle_alpha 90.00
_cell_angle_beta 90.00
_cell_angle_gamma 90.00
_space_group_name_H-M_alt 'P 4/m m m'
_space_group_IT_number 123
_space_group_name_Hall '-P 4 2'
loop_
_atom_site_label
_atom_site_type_symbol
_atom_site_fract_x
_atom_site_fract_y
_atom_site_fract_z
As1 As 0.000 0.000 0.000
P1 P 0.500 0.500 0.000
Pd1 Pd 0.500 0.500 0.500
Cl1 Cl 0.000 0.500 0.500
```

raw formation energy	456	meV/atom
calculated volume	108.8	Å³/cell
distance to the lowest polymorph of the same formula	0	meV per atom

=====

Entry 7:
Pm4As2PCl | GGA-PBE | relaxed

The structure in CIF format:
```
data_Pm4As2PCl
_chemical_formula_sum 'Pm4 As2 P1 Cl1'
_cell_length_a 7.195
_cell_length_b 4.182
_cell_length_c 7.277
_cell_angle_alpha 90.00
_cell_angle_beta 109.36
_cell_angle_gamma 90.00
_space_group_name_H-M_alt 'P 1 2/m 1'
_space_group_IT_number 10
loop_
_space_group_symop_operation_xyz
'x,y,z'
'-x,-y,-z'
'-x,y,-z'
'x,-y,z'
loop_
_atom_site_label
_atom_site_type_symbol
_atom_site_fract_x
_atom_site_fract_y
_atom_site_fract_z
Pm1 Pm 0.240 0.000 0.233
Pm2 Pm 0.251 0.500 0.761
As1 As 0.000 0.000 0.500
As2 As 0.000 0.500 0.000
P1 P 0.500 0.000 0.000
Cl1 Cl 0.500 0.500 0.500
```

raw formation energy	-1580	meV/atom
calculated volume	206.6	Å³/cell

=====

Entry 8:
Pr4As2PCl | GGA-PBE | relaxed

The structure in CIF format:
```
data_Pr4As2PCl
_chemical_formula_sum 'Pr4 As2 P1 Cl1'
_cell_length_a 7.319
_cell_length_b 4.251
_cell_length_c 7.403
_cell_angle_alpha 90.00
_cell_angle_beta 109.33
_cell_angle_gamma 90.00
_space_group_name_H-M_alt 'P 1 2/m 1'
_space_group_IT_number 10
loop_
_space_group_symop_operation_xyz
'x,y,z'
'-x,-y,-z'
'-x,y,-z'
'x,-y,z'
loop_
_atom_site_label
_atom_site_type_symbol
_atom_site_fract_x
_atom_site_fract_y
_atom_site_fract_z
Pr1 Pr 0.240 0.000 0.233
Pr2 Pr 0.251 0.500 0.761
As1 As 0.000 0.000 0.500
As2 As 0.000 0.500 0.000
P1 P 0.500 0.000 0.000
Cl1 Cl 0.500 0.500 0.500
```

raw formation energy	-1568	meV/atom
calculated volume	217.3	Å³/cell